# Er4AuC2 GGA-PBE relaxed
# Energy of formation from the pure elements: -42.0 kJ per mole of atoms
# Total magnetization: 0.6 μB/f.u.
# DOS at the Fermi energy: 0.882 states/eV/atom
data_Er4AuC2
_chemical_formula_sum 'Er16 Au4 C8'
_space_group_name_H-M_alt 'C m c m'
_space_group_IT_number 63
_space_group_name_Hall '-C 2c 2'
_cell_length_a 3.637
_cell_length_b 12.103
_cell_length_c 12.806
_cell_angle_alpha 90.00
_cell_angle_beta 90.00
_cell_angle_gamma 90.00
loop_
_atom_site_label
_atom_site_fract_x
_atom_site_fract_y
_atom_site_fract_z
Er1 0.000 0.000 0.000
Er2 0.000 0.265 0.104
Er3 0.000 0.424 0.750
Au1 0.000 0.112 0.750
C1 0.000 0.365 0.561